# 1
This record from Alexandria describes a geometry-optimized YHf2GaTc structure. The functional is PBE.

calculated volume: 25.6 A^3/atom
DFT formation energy: 1740 meV per atom
SG: P4/mmm, No. 123
N(E_F): 1.28 states/eV/atom

Unit cell a=5.2132 b=4.7032 c=5.2132 alpha=90.00 beta=90.00 gamma=90.00
With the nearest neighbours (Å) after each atom.
Fractional coordinates of all 5 atoms:
Y: 0.0000 0.0000 0.0000  2 Tc 2.35, 4 Hf 2.61
Hf: 0.0000 0.0000 0.5000  2 Y 2.61
Hf: 0.5000 0.0000 0.0000  2 Y 2.61
Tc: 0.0000 0.5000 0.0000  2 Y 2.35
Ga: 0.5000 0.5000 0.5000  8 Hf 3.51, 4 Tc 3.69

# 2
This record from Alexandria describes a geometry-optimized Dy4YTm3Se8 structure. The functional is PBE.

calculated volume: 23.6 A^3/atom
E_tot: -5.85 eV/atom
SG: R-3m, No. 166
N(E_F): 0.65 states/eV/atom

Unit cell a=8.0970 b=8.1245 c=8.0984 alpha=119.91 beta=119.99 gamma=90.00
With the nearest neighbours (Å) after each atom.
Fractional coordinates of all 16 atoms:
Dy: 0.5000 0.0000 0.0000  6 Se 2.86
Dy: 0.5000 0.0000 0.5000  6 Se 2.89
Dy: 0.0000 0.0000 0.0000  6 Se 2.89
Dy: 0.0000 0.0000 0.5000  6 Se 2.89
Y: 0.0000 0.5000 0.0000  6 Se 2.87
Tm: 0.5000 0.5000 0.0000  6 Se 2.84
Tm: 0.5000 0.5000 0.5000  6 Se 2.84
Tm: 0.0000 0.5000 0.5000  6 Se 2.84
Se: 0.2501 0.7462 0.9958  2 Tm 2.84, 3 Dy 2.86-2.89, 1 Y 2.87
Se: 0.2506 0.7463 0.5012  2 Tm 2.84, 3 Dy 2.86-2.89, 1 Y 2.87
Se: 0.2522 0.2562 0.5044  3 Tm 2.84, 3 Dy 2.89
Se: 0.7456 0.7462 0.9958  2 Tm 2.84, 3 Dy 2.86-2.89, 1 Y 2.87
Se: 0.2544 0.2538 0.0042  2 Tm 2.84, 3 Dy 2.86-2.89, 1 Y 2.87
Se: 0.7478 0.7438 0.4956  3 Tm 2.84, 3 Dy 2.89
Se: 0.7494 0.2537 0.4988  2 Tm 2.84, 3 Dy 2.86-2.89, 1 Y 2.87
Se: 0.7499 0.2538 0.0042  2 Tm 2.84, 3 Dy 2.86-2.89, 1 Y 2.87

# 3
This record from Alexandria describes a geometry-optimized Ba2NaLi2 structure. The functional is PBE.

calculated volume: 43.7 A^3/atom
DFT formation energy: 34 meV per atom
SG: Cmmm, No. 65
N(E_F): 0.92 states/eV/atom
relative energy among the computed polymorphs: 0.00 kJ per mole of atoms

Unit cell a=4.9917 b=5.0161 c=9.0883 alpha=106.02 beta=90.00 gamma=90.00
With the nearest neighbours (Å) after each atom.
Fractional coordinates of all 5 atoms:
Ba: 0.5000 0.6338 0.2677  6 Li 3.73-3.80
Ba: 0.5000 0.3661 0.7323  6 Li 3.73-3.80
Na: 0.0000 0.0000 0.0000  2 Li 3.53
Li: 0.0000 0.2023 0.4045  2 Li 3.01
Li: 0.0000 0.7977 0.5955  2 Li 3.01

# 4
This record from Alexandria describes a geometry-optimized SmHfZr2 structure. The functional is PBE.

calculated volume: 25.4 A^3/atom
DFT formation energy: 134 meV per atom
SG: P4/mmm, No. 123
N(E_F): 1.29 states/eV/atom
relative energy among the computed polymorphs: 1.46 kJ per mole of atoms

Unit cell a=3.7911 b=3.7911 c=7.0631 alpha=90.00 beta=90.00 gamma=90.00
With the nearest neighbours (Å) after each atom.
Fractional coordinates of all 4 atoms:
Hf: 0.5000 0.5000 0.0000  8 Zr 3.06
Zr: 0.0000 0.0000 0.7913  1 Zr 2.95, 4 Hf 3.06
Zr: 0.0000 0.0000 0.2087  1 Zr 2.95, 4 Hf 3.06
Sm: 0.5000 0.5000 0.5000  8 Zr 3.38, 2 Hf 3.53

# 5
This record from Alexandria describes a geometry-optimized Cs2Hg7Pd structure. The functional is PBE.

calculated volume: 35.5 A^3/atom
DFT formation energy: -203 meV per atom
SG: I4/mmm, No. 139
N(E_F): 0.42 states/eV/atom

Unit cell a=7.9428 b=7.9428 c=7.9428 alpha=90.30 beta=119.83 gamma=119.83
With the nearest neighbours (Å) after each atom.
Fractional coordinates of all 10 atoms:
Cs: 0.5000 0.7500 0.2500  12 Hg 3.97-3.98
Cs: 0.5000 0.2500 0.7500  12 Hg 3.97-3.98
Hg: 0.0000 0.5000 0.5000  6 Hg 2.90-2.92
Hg: 0.0000 0.2414 0.2414  1 Pd 2.70, 1 Hg 2.90
Hg: 0.0000 0.7586 0.7586  1 Pd 2.70, 1 Hg 2.90
Hg: 0.5179 0.7589 0.7589  1 Pd 2.71, 1 Hg 2.92
Hg: 0.4821 0.2411 0.2411  1 Pd 2.71, 1 Hg 2.92
Hg: 0.0000 0.2411 0.7589  1 Pd 2.71, 1 Hg 2.92
Hg: 0.0000 0.7589 0.2411  1 Pd 2.71, 1 Hg 2.92
Pd: 0.0000 0.0000 0.0000  6 Hg 2.70-2.71

# 6
This record from Alexandria describes a geometry-optimized Nd4DyHg2 structure. The functional is PBE.

calculated volume: 31.5 A^3/atom
DFT formation energy: -108 meV per atom
SG: P1, No. 1
N(E_F): 1.09 states/eV/atom

Unit cell a=9.1063 b=8.7699 c=8.8209 alpha=136.85 beta=108.17 gamma=86.77
With the nearest neighbours (Å) after each atom.
Fractional coordinates of all 14 atoms:
Nd: 0.9018 0.1801 0.2384  3 Hg 3.22-3.48, 1 Dy 3.30, 3 Nd 3.39-3.49
Nd: 0.3612 0.5989 0.0453  3 Hg 3.22-3.26, 2 Nd 3.28-3.51, 1 Dy 3.44
Nd: 0.8827 0.5942 0.7884  2 Hg 3.15-3.35, 1 Dy 3.30, 4 Nd 3.39-3.48
Nd: 0.7663 0.9394 0.6689  4 Hg 3.30-3.40, 3 Nd 3.49-3.68
Nd: 0.3276 0.1091 0.2996  2 Hg 3.09-3.31, 1 Dy 3.23, 1 Nd 3.28
Nd: 0.3444 0.0108 0.6521  3 Hg 3.17-3.41, 1 Dy 3.47, 2 Nd 3.49-3.51
Nd: 0.5216 0.7326 0.7786  3 Hg 3.19-3.43, 1 Dy 3.23, 2 Nd 3.44-3.49
Nd: 0.9191 0.6357 0.2208  3 Hg 3.06-3.41, 1 Dy 3.40
Dy: 0.1453 0.7056 0.6749  6 Nd 3.23-3.49, 1 Dy 3.54
Dy: 0.1951 0.3271 0.1229  2 Hg 3.08-3.22, 3 Nd 3.23-3.44
Hg: 0.6030 0.3515 0.7781  7 Nd 3.06-3.38, 1 Hg 3.14
Hg: 0.6788 0.9871 0.3150  2 Hg 3.06-3.14, 6 Nd 3.19-3.41
Hg: 0.5741 0.3794 0.2491  1 Dy 3.22, 4 Nd 3.36-3.43
Hg: 0.0290 0.1985 0.6678  1 Hg 3.06, 1 Dy 3.08, 5 Nd 3.15-3.40

# 7
This record from Alexandria describes a geometry-optimized PaNi4Ge2 structure. The functional is PBE.

calculated volume: 14.4 A^3/atom
DFT formation energy: -440 meV per atom
SG: P4_2/mnm, No. 136
N(E_F): 0.92 states/eV/atom

Unit cell a=3.8687 b=7.2179 c=7.2179 alpha=90.00 beta=90.00 gamma=90.00
With the nearest neighbours (Å) after each atom.
Fractional coordinates of all 14 atoms:
Pa: 0.5000 0.0000 0.0000  6 Ge 2.91-2.93, 4 Ni 3.11
Pa: 0.0000 0.5000 0.5000  6 Ge 2.91-2.93, 4 Ni 3.11
Ni: 0.0000 0.0951 0.3515  3 Ge 2.42-2.45, 6 Ni 2.55-2.64
Ni: 0.0000 0.9049 0.6485  3 Ge 2.42-2.45, 6 Ni 2.55-2.64
Ni: 0.5000 0.1485 0.5951  3 Ge 2.42-2.45, 6 Ni 2.55-2.64
Ni: 0.5000 0.8515 0.4049  3 Ge 2.42-2.45, 6 Ni 2.55-2.64
Ni: 0.5000 0.4049 0.8515  3 Ge 2.42-2.45, 6 Ni 2.55-2.64
Ni: 0.5000 0.5951 0.1485  3 Ge 2.42-2.45, 6 Ni 2.55-2.64
Ni: 0.0000 0.3515 0.0951  3 Ge 2.42-2.45, 6 Ni 2.55-2.64
Ni: 0.0000 0.6485 0.9049  3 Ge 2.42-2.45, 6 Ni 2.55-2.64
Ge: 0.0000 0.2151 0.7849  6 Ni 2.42-2.45
Ge: 0.0000 0.7849 0.2151  6 Ni 2.42-2.45
Ge: 0.5000 0.7151 0.7151  6 Ni 2.42-2.45
Ge: 0.5000 0.2849 0.2849  6 Ni 2.42-2.45

# 8
This record from Alexandria describes a geometry-optimized Sm5SnGe2 structure. The functional is PBE.

calculated volume: 28.0 A^3/atom
DFT formation energy: -723 meV per atom
SG: I4/mcm, No. 140
N(E_F): 1.11 states/eV/atom

Unit cell a=8.0038 b=8.0038 c=9.0056 alpha=116.38 beta=116.38 gamma=90.00
With the nearest neighbours (Å) after each atom.
Fractional coordinates of all 16 atoms:
Sm: 0.5202 0.6968 0.7170  3 Ge 2.99-3.13
Sm: 0.8032 0.9798 0.2830  3 Ge 2.99-3.13
Sm: 0.0000 0.0000 0.0000  4 Ge 3.09
Sm: 0.5000 0.5000 0.0000  4 Ge 3.09
Sm: 0.1968 0.0202 0.7170  3 Ge 2.99-3.13
Sm: 0.6968 0.1968 0.7170  3 Ge 2.99-3.13
Sm: 0.0202 0.5202 0.7170  3 Ge 2.99-3.13
Sm: 0.3032 0.8032 0.2830  3 Ge 2.99-3.13
Sm: 0.9798 0.4798 0.2830  3 Ge 2.99-3.13
Sm: 0.4798 0.3032 0.2830  3 Ge 2.99-3.13
Sn: 0.7500 0.7500 0.5000  10 Sm 3.36-3.50
Sn: 0.2500 0.2500 0.5000  10 Sm 3.36-3.50
Ge: 0.1399 0.3601 0.0000  8 Sm 2.99-3.13, 1 Ge 3.17
Ge: 0.6399 0.1399 0.0000  8 Sm 2.99-3.13, 1 Ge 3.17
Ge: 0.3601 0.8601 0.0000  8 Sm 2.99-3.13, 1 Ge 3.17
Ge: 0.8601 0.6399 0.0000  8 Sm 2.99-3.13, 1 Ge 3.17